Record 1
Here is a relaxed ScBe3Si crystal from Alexandria via LeMat-Bulk. Energies are from PBE-GGA.

Properties
The space group is Pm-3m (221). The value obtained for the energy relative to the elements, uncorrected is 1.955 eV per atom.

abc: 4.6736 4.6736 4.6736
angles: 90.00 90.00 90.00
Closest atoms and distances in Å follow each position.
Positions (direct):
Sc1 0.0000 0.0000 0.0000  6 Be 2.34
Be1 0.0000 0.0000 0.5000  2 Sc 2.34
Be2 0.0000 0.5000 0.0000  2 Sc 2.34
Be3 0.5000 0.0000 0.0000  2 Sc 2.34
Si1 0.5000 0.5000 0.5000  12 Be 3.30

=====

Record 2
Here is a relaxed Cr2Co4As crystal from Alexandria via LeMat-Bulk. Energies are from PBE-GGA.

Properties
The space group is I4/mmm (139). The value obtained for the formation energy is 22.8 kcal/mol of atoms.

abc: 4.2131 4.2131 12.2709
angles: 90.00 90.00 90.00
Closest atoms and distances in Å follow each position.
Positions (direct):
Cr1 0.0000 0.0000 0.1221  5 Co 2.34-2.59
Cr2 0.0000 0.0000 0.8779  5 Co 2.34-2.59
Cr3 0.5000 0.5000 0.3779  5 Co 2.34-2.59
Cr4 0.5000 0.5000 0.6221  5 Co 2.34-2.59
Co1 0.0000 0.0000 0.3129  1 As 2.30, 1 Cr 2.34
Co2 0.0000 0.0000 0.6871  1 As 2.30, 1 Cr 2.34
Co3 0.0000 0.5000 0.0000  2 As 2.11
Co4 0.0000 0.5000 0.5000  2 As 2.11
Co5 0.5000 0.0000 0.0000  2 As 2.11
Co6 0.5000 0.0000 0.5000  2 As 2.11
Co7 0.5000 0.5000 0.1871  1 As 2.30, 1 Cr 2.34
Co8 0.5000 0.5000 0.8129  1 As 2.30, 1 Cr 2.34
As1 0.0000 0.0000 0.5000  6 Co 2.11-2.30
As2 0.5000 0.5000 0.0000  6 Co 2.11-2.30

=====

Record 3
Here is a relaxed CsBa2 crystal from Alexandria via LeMat-Bulk. Energies are from PBE-GGA.

Properties
The space group is Fd-3m (227). The value obtained for the formation energy is 3.9 kcal/mol of atoms.

abc: 8.8184 8.8184 8.8184
angles: 60.00 60.00 60.00
Closest atoms and distances in Å follow each position.
Positions (direct):
Cs1 0.1250 0.1250 0.1250  12 Ba 5.17, 4 Cs 5.40
Cs2 0.8750 0.8750 0.8750  12 Ba 5.17, 4 Cs 5.40
Ba1 0.0000 0.5000 0.5000  6 Ba 4.41
Ba2 0.5000 0.0000 0.5000  6 Ba 4.41
Ba3 0.5000 0.5000 0.0000  6 Ba 4.41
Ba4 0.5000 0.5000 0.5000  6 Ba 4.41

=====

Record 4
Here is a relaxed AlTcRu2 crystal from Alexandria via LeMat-Bulk. Energies are from PBE-GGA.

Properties
The space group is R3m (160). The value obtained for the formation energy is 2.7 kcal/mol of atoms.

abc: 4.0687 4.0687 13.1836
angles: 90.00 90.00 120.00
Closest atoms and distances in Å follow each position.
Positions (direct):
Al1 0.0000 0.0000 0.0000  6 Ru 2.51-2.55, 1 Tc 2.62
Al2 0.3333 0.6667 0.6667  6 Ru 2.51-2.55, 1 Tc 2.62
Al3 0.6667 0.3333 0.3333  6 Ru 2.51-2.55, 1 Tc 2.62
Tc1 0.0000 0.0000 0.8013  4 Ru 2.51-2.76, 1 Al 2.62
Tc2 0.3333 0.6667 0.4679  4 Ru 2.51-2.76, 1 Al 2.62
Tc3 0.6667 0.3333 0.1346  4 Ru 2.51-2.76, 1 Al 2.62
Ru1 0.0000 0.0000 0.4001  3 Al 2.51, 3 Tc 2.51, 1 Ru 2.53
Ru2 0.0000 0.0000 0.5919  1 Ru 2.53, 3 Al 2.55, 1 Tc 2.76
Ru3 0.3333 0.6667 0.0668  3 Al 2.51, 3 Tc 2.51, 1 Ru 2.53
Ru4 0.3333 0.6667 0.2586  1 Ru 2.53, 3 Al 2.55, 1 Tc 2.76
Ru5 0.6667 0.3333 0.7334  3 Al 2.51, 3 Tc 2.51, 1 Ru 2.53
Ru6 0.6667 0.3333 0.9252  1 Ru 2.53, 3 Al 2.55, 1 Tc 2.76

=====

Record 5
Here is a relaxed Dy3PbCO crystal from Alexandria via LeMat-Bulk. Energies are from PBE-GGA.

Properties
The space group is P2_1/m (11). The value obtained for the energy relative to the elements, uncorrected is -1.275 eV per atom.

abc: 8.7358 3.7356 9.0350
angles: 90.00 110.96 90.00
Closest atoms and distances in Å follow each position.
Positions (direct):
Dy1 0.0273 0.2500 0.3555  3 C 2.40-2.55
Dy2 0.3173 0.2500 0.9499  3 O 2.19-2.26
Dy3 0.3623 0.7500 0.6376  1 O 2.19
Dy4 0.6377 0.2500 0.3624  1 O 2.19
Dy5 0.6827 0.7500 0.0501  3 O 2.19-2.26
Dy6 0.9727 0.7500 0.6445  3 C 2.40-2.55
Pb1 0.2731 0.7500 0.2421  7 Dy 3.27-3.51
Pb2 0.7269 0.2500 0.7579  7 Dy 3.27-3.51
C1 0.1684 0.2500 0.6377  6 Dy 2.40-2.65
C2 0.8316 0.7500 0.3623  6 Dy 2.40-2.65
O1 0.4145 0.7500 0.8929  4 Dy 2.19-2.26
O2 0.5855 0.2500 0.1071  4 Dy 2.19-2.26

=====

Record 6
Here is a relaxed Dy3Pb crystal from Alexandria via LeMat-Bulk. Energies are from PBE-GGA.

Properties
The space group is Imm2 (44). The value obtained for the formation energy is -5.7 kcal/mol of atoms.

abc: 3.5841 11.1579 5.9314
angles: 90.00 90.00 90.00
Closest atoms and distances in Å follow each position.
Positions (direct):
Dy1 0.0000 0.0000 0.0000  4 Pb 3.31-3.62, 8 Dy 3.38-3.58
Dy2 0.0000 0.2323 0.6357  3 Pb 3.30-3.58, 9 Dy 3.38-3.58
Dy3 0.0000 0.7677 0.6357  3 Pb 3.30-3.58, 9 Dy 3.38-3.58
Dy4 0.5000 0.2677 0.1357  3 Pb 3.30-3.58, 9 Dy 3.38-3.58
Dy5 0.5000 0.5000 0.5000  4 Pb 3.31-3.62, 8 Dy 3.38-3.58
Dy6 0.5000 0.7323 0.1357  3 Pb 3.30-3.58, 9 Dy 3.38-3.58
Pb1 0.0000 0.5000 0.9700  10 Dy 3.30-3.62, 2 Pb 3.58
Pb2 0.5000 0.0000 0.4700  10 Dy 3.30-3.62, 2 Pb 3.58

=====

Record 7
Here is a relaxed Re3OsPd crystal from Alexandria via LeMat-Bulk. Energies are from PBE-GGA.

Properties
The space group is Pm-3m (221). The value obtained for the formation energy is 50.7 kcal/mol of atoms.

abc: 4.6770 4.6770 4.6770
angles: 90.00 90.00 90.00
Closest atoms and distances in Å follow each position.
Positions (direct):
Re1 0.0000 0.0000 0.5000  2 Os 2.34
Re2 0.0000 0.5000 0.0000  2 Os 2.34
Re3 0.5000 0.0000 0.0000  2 Os 2.34
Os1 0.0000 0.0000 0.0000  6 Re 2.34
Pd1 0.5000 0.5000 0.5000  12 Re 3.31

=====

Record 8
Here is a relaxed Ba2SrAg crystal from Alexandria via LeMat-Bulk. Energies are from PBE-GGA.

Properties
The space group is Cmm2 (35). The value obtained for the formation energy is -2.7 kcal/mol of atoms.

abc: 5.8674 5.8757 10.6883
angles: 90.00 90.00 90.00
Closest atoms and distances in Å follow each position.
Positions (direct):
Ba1 0.0000 0.0000 0.0000  4 Ag 3.57-3.58, 1 Sr 3.82
Ba2 0.0000 0.5000 0.3308  8 Ba 4.15-4.60, 4 Sr 4.44
Ba3 0.5000 0.0000 0.3308  8 Ba 4.15-4.60, 4 Sr 4.44
Ba4 0.5000 0.5000 0.0000  4 Ag 3.57-3.58, 1 Sr 3.82
Sr1 0.0000 0.0000 0.6429  4 Ag 3.43, 1 Ba 3.82
Sr2 0.5000 0.5000 0.6429  4 Ag 3.43, 1 Ba 3.82
Ag1 0.0000 0.5000 0.8092  4 Sr 3.43, 4 Ba 3.57-3.58
Ag2 0.5000 0.0000 0.8092  4 Sr 3.43, 4 Ba 3.57-3.58

=====

Record 9
Here is a relaxed LaTcP2 crystal from Alexandria via LeMat-Bulk. Energies are from PBE-GGA.

Properties
The space group is Immm (71). The value obtained for the formation energy is -14.3 kcal/mol of atoms.

abc: 4.0926 5.7235 6.8024
angles: 90.00 90.00 90.00
Closest atoms and distances in Å follow each position.
Positions (direct):
La1 0.0000 0.0000 0.0000  8 P 2.99-3.11
La2 0.5000 0.5000 0.5000  8 P 2.99-3.11
Tc1 0.0000 0.0000 0.5000  4 P 2.39
Tc2 0.5000 0.5000 0.0000  4 P 2.39
P1 0.0000 0.5000 0.1801  2 Tc 2.39, 1 P 2.45
P2 0.0000 0.5000 0.8199  2 Tc 2.39, 1 P 2.45
P3 0.5000 0.0000 0.3199  2 Tc 2.39, 1 P 2.45
P4 0.5000 0.0000 0.6801  2 Tc 2.39, 1 P 2.45

=====

Record 10
Here is a relaxed FeHPtW2 crystal from Alexandria via LeMat-Bulk. Energies are from PBE-GGA.

Properties
The space group is P4/mmm (123). The raw total energy is -8.729 eV per atom.

abc: 3.9414 3.9414 3.8712
angles: 90.00 90.00 90.00
Closest atoms and distances in Å follow each position.
Positions (direct):
Fe1 0.0000 0.0000 0.0000  2 H 1.94
H1 0.0000 0.0000 0.5000  2 Fe 1.94, 4 W 1.97
Pt1 0.5000 0.5000 0.0000  8 W 2.76, 4 Fe 2.79
W1 0.0000 0.5000 0.5000  2 H 1.97
W2 0.5000 0.0000 0.5000  2 H 1.97

=====

Record 11
Here is a relaxed Pa4TcSe3 crystal from Alexandria via LeMat-Bulk. Energies are from PBE-GGA.

Properties
The space group is Cmmm (65). The value obtained for the energy relative to the elements, uncorrected is -0.941 eV per atom.

abc: 8.4204 11.5311 3.9297
angles: 90.00 90.00 90.00
Closest atoms and distances in Å follow each position.
Positions (direct):
Pa1 0.0000 0.2400 0.0000  1 Tc 2.77, 5 Se 2.88-3.00
Pa2 0.0000 0.7600 0.0000  1 Tc 2.77, 5 Se 2.88-3.00
Pa3 0.2295 0.0000 0.5000  2 Tc 2.76, 4 Se 2.89-3.01
Pa4 0.2705 0.5000 0.5000  2 Tc 2.76, 4 Se 2.89-3.01
Pa5 0.5000 0.2600 0.0000  1 Tc 2.77, 5 Se 2.88-3.00
Pa6 0.5000 0.7400 0.0000  1 Tc 2.77, 5 Se 2.88-3.00
Pa7 0.7295 0.5000 0.5000  2 Tc 2.76, 4 Se 2.89-3.01
Pa8 0.7705 0.0000 0.5000  2 Tc 2.76, 4 Se 2.89-3.01
Tc1 0.0000 0.0000 0.0000  6 Pa 2.76-2.77
Tc2 0.5000 0.5000 0.0000  6 Pa 2.76-2.77
Se1 0.0000 0.5000 0.0000  6 Pa 3.00-3.01
Se2 0.2500 0.2500 0.5000  6 Pa 2.88-2.89
Se3 0.2500 0.7500 0.5000  6 Pa 2.88-2.89
Se4 0.5000 0.0000 0.0000  6 Pa 3.00-3.01
Se5 0.7500 0.2500 0.5000  6 Pa 2.88-2.89
Se6 0.7500 0.7500 0.5000  6 Pa 2.88-2.89

=====

Record 12
Here is a relaxed Ac3TbY3Te8 crystal from Alexandria via LeMat-Bulk. Energies are from PBE-GGA.

Properties
The space group is R-3m (166). The value obtained for the energy relative to the elements, uncorrected is -1.442 eV per atom.

abc: 9.1505 9.1505 9.1505
angles: 58.55 58.55 58.55
Closest atoms and distances in Å follow each position.
Positions (direct):
Ac1 0.0000 0.5000 0.5000  6 Te 3.31-3.32
Ac2 0.5000 0.0000 0.5000  6 Te 3.31-3.32
Ac3 0.5000 0.5000 0.0000  6 Te 3.31-3.32
Tb1 0.5000 0.5000 0.5000  6 Te 3.17
Y1 0.0000 0.0000 0.5000  6 Te 3.09
Y2 0.0000 0.5000 0.0000  6 Te 3.09
Y3 0.5000 0.0000 0.0000  6 Te 3.09
Te1 0.2355 0.7481 0.7481  2 Y 3.09, 1 Tb 3.17, 2 Ac 3.31
Te2 0.2416 0.2416 0.2416  3 Y 3.09, 3 Ac 3.32
Te3 0.2519 0.2519 0.7645  2 Y 3.09, 1 Tb 3.17, 2 Ac 3.31
Te4 0.2519 0.7645 0.2519  2 Y 3.09, 1 Tb 3.17, 2 Ac 3.31
Te5 0.7481 0.2355 0.7481  2 Y 3.09, 1 Tb 3.17, 2 Ac 3.31
Te6 0.7481 0.7481 0.2355  2 Y 3.09, 1 Tb 3.17, 2 Ac 3.31
Te7 0.7584 0.7584 0.7584  3 Y 3.09, 3 Ac 3.32
Te8 0.7645 0.2519 0.2519  2 Y 3.09, 1 Tb 3.17, 2 Ac 3.31

=====

Record 13
Here is a relaxed Y3TaTl3S8 crystal from Alexandria via LeMat-Bulk. Energies are from PBE-GGA.

Properties
The space group is R-3m (166). The value obtained for the energy relative to the elements, uncorrected is -1.348 eV per atom.

abc: 8.8982 8.8982 8.8982
angles: 51.85 51.85 51.85
Closest atoms and distances in Å follow each position.
Positions (direct):
Y1 0.0000 0.5000 0.5000  6 S 2.72-2.76
Y2 0.5000 0.0000 0.5000  6 S 2.72-2.76
Y3 0.5000 0.5000 0.0000  6 S 2.72-2.76
Ta1 0.0000 0.0000 0.0000  6 S 2.52
Tl1 0.0000 0.0000 0.5000  6 S 3.22
Tl2 0.0000 0.5000 0.0000  6 S 3.22
Tl3 0.5000 0.0000 0.0000  6 S 3.22
S1 0.2157 0.2157 0.7580  1 Ta 2.52, 2 Y 2.76
S2 0.2157 0.7580 0.2157  1 Ta 2.52, 2 Y 2.76
S3 0.2420 0.7843 0.7843  1 Ta 2.52, 2 Y 2.76
S4 0.2666 0.2666 0.2666  3 Y 2.72
S5 0.7334 0.7334 0.7334  3 Y 2.72
S6 0.7580 0.2157 0.2157  1 Ta 2.52, 2 Y 2.76
S7 0.7843 0.2420 0.7843  1 Ta 2.52, 2 Y 2.76
S8 0.7843 0.7843 0.2420  1 Ta 2.52, 2 Y 2.76

=====

Record 14
Here is a relaxed Mg2BePb crystal from Alexandria via LeMat-Bulk. Energies are from PBE-GGA.

Properties
The space group is I4/mmm (139). The value obtained for the formation energy is 6.9 kcal/mol of atoms.

abc: 4.3384 4.3384 8.6768
angles: 90.00 90.00 90.00
Closest atoms and distances in Å follow each position.
Positions (direct):
Mg1 0.0000 0.5000 0.2500  4 Mg 3.07, 4 Pb 3.07, 4 Be 3.07
Mg2 0.0000 0.5000 0.7500  4 Mg 3.07, 4 Pb 3.07, 4 Be 3.07
Mg3 0.5000 0.0000 0.2500  4 Mg 3.07, 4 Pb 3.07, 4 Be 3.07
Mg4 0.5000 0.0000 0.7500  4 Mg 3.07, 4 Pb 3.07, 4 Be 3.07
Be1 0.0000 0.0000 0.0000  4 Pb 3.07, 8 Mg 3.07
Be2 0.5000 0.5000 0.5000  4 Pb 3.07, 8 Mg 3.07
Pb1 0.0000 0.0000 0.5000  4 Be 3.07, 8 Mg 3.07
Pb2 0.5000 0.5000 0.0000  4 Be 3.07, 8 Mg 3.07

=====

Record 15
Here is a relaxed UGaNiRu crystal from Alexandria via LeMat-Bulk. Energies are from PBE-GGA.

Properties
The space group is F-43m (216). The value obtained for the formation energy is -4.8 kcal/mol of atoms.

abc: 6.4091 6.4091 6.4091
angles: 90.00 90.00 90.00
Closest atoms and distances in Å follow each position.
Positions (direct):
U1 0.0000 0.0000 0.0000  4 Ni 2.78, 4 Ru 2.78
U2 0.0000 0.5000 0.5000  4 Ni 2.78, 4 Ru 2.78
U3 0.5000 0.0000 0.5000  4 Ni 2.78, 4 Ru 2.78
U4 0.5000 0.5000 0.0000  4 Ni 2.78, 4 Ru 2.78
Ga1 0.0000 0.0000 0.5000  4 Ru 2.78, 4 Ni 2.78
Ga2 0.0000 0.5000 0.0000  4 Ru 2.78, 4 Ni 2.78
Ga3 0.5000 0.0000 0.0000  4 Ru 2.78, 4 Ni 2.78
Ga4 0.5000 0.5000 0.5000  4 Ru 2.78, 4 Ni 2.78
Ni1 0.2500 0.2500 0.2500  4 Ga 2.78, 4 U 2.78
Ni2 0.2500 0.7500 0.7500  4 U 2.78, 4 Ga 2.78
Ni3 0.7500 0.2500 0.7500  4 U 2.78, 4 Ga 2.78
Ni4 0.7500 0.7500 0.2500  4 U 2.78, 4 Ga 2.78
Ru1 0.2500 0.2500 0.7500  4 U 2.78, 4 Ga 2.78
Ru2 0.2500 0.7500 0.2500  4 U 2.78, 4 Ga 2.78
Ru3 0.7500 0.2500 0.2500  4 U 2.78, 4 Ga 2.78
Ru4 0.7500 0.7500 0.7500  4 U 2.78, 4 Ga 2.78

=====

Record 16
Here is a relaxed CuRh2N2 crystal from Alexandria via LeMat-Bulk. Energies are from PBE-GGA.

Properties
The space group is I4/mmm (139). The value obtained for the energy relative to the elements, uncorrected is 0.799 eV per atom.

abc: 3.3503 3.3503 10.5887
angles: 90.00 90.00 90.00
Closest atoms and distances in Å follow each position.
Positions (direct):
Cu1 0.0000 0.0000 0.0000  8 Rh 2.78
Cu2 0.5000 0.5000 0.5000  8 Rh 2.78
Rh1 0.0000 0.0000 0.3619  4 N 2.05
Rh2 0.0000 0.0000 0.6381  4 N 2.05
Rh3 0.5000 0.5000 0.1381  4 N 2.05
Rh4 0.5000 0.5000 0.8619  4 N 2.05
N1 0.0000 0.5000 0.2500  4 Rh 2.05
N2 0.0000 0.5000 0.7500  4 Rh 2.05
N3 0.5000 0.0000 0.2500  4 Rh 2.05
N4 0.5000 0.0000 0.7500  4 Rh 2.05